(1)
# KNa7Hg2

A geometry-optimized KNa7Hg2 structure (GGA-PBE, Alexandria via LeMat-Bulk).

Computed properties:
- uncorrected energy (eV per atom) = -1.118
- E_form (meV/atom) = -24

a b c (Å): 8.7702 8.7702 6.0180
angles (deg): 90.00 90.00 113.70
Fractional positions:
K 0.0000 0.0000 0.0000
Na 0.0677 0.3286 0.5000
Na 0.3245 0.6755 0.0000
Na 0.3286 0.0677 0.5000
Na 0.5000 0.5000 0.5000
Na 0.6714 0.9323 0.5000
Na 0.6755 0.3245 0.0000
Na 0.9323 0.6714 0.5000
Hg 0.2919 0.7081 0.5000
Hg 0.7081 0.2919 0.5000


(2)
# K2NaHg2

A geometry-optimized K2NaHg2 structure (GGA-PBE, Alexandria via LeMat-Bulk).

Computed properties:
- uncorrected energy (eV per atom) = -0.905
- E_form (meV/atom) = -81
- distance to the lowest polymorph of the same formula (eV/atom) = 0.1284

a b c (Å): 5.5711 5.5711 13.9551
angles (deg): 90.00 90.00 90.00
Fractional positions:
K 0.0000 0.5000 0.2500
K 0.0000 0.5000 0.7500
K 0.5000 0.0000 0.2500
K 0.5000 0.0000 0.7500
Na 0.0000 0.0000 0.0000
Na 0.5000 0.5000 0.5000
Hg 0.0000 0.0000 0.3977
Hg 0.0000 0.0000 0.6023
Hg 0.5000 0.5000 0.1023
Hg 0.5000 0.5000 0.8977


(3)
# K2NaHg3

A geometry-optimized K2NaHg3 structure (GGA-PBE, Alexandria via LeMat-Bulk).

Computed properties:
- uncorrected energy (eV per atom) = -0.946
- E_form (meV/atom) = -209
- distance to the lowest polymorph of the same formula (eV/atom) = 0.0000

a b c (Å): 8.6706 8.6706 6.3538
angles (deg): 90.00 90.00 69.29
Fractional positions:
K 0.0129 0.3550 0.2500
K 0.3550 0.0129 0.7500
K 0.6450 0.9871 0.2500
K 0.9871 0.6450 0.7500
Na 0.2722 0.7278 0.2500
Na 0.7278 0.2722 0.7500
Hg 0.0000 0.0000 0.0000
Hg 0.0000 0.0000 0.5000
Hg 0.3855 0.3855 0.0000
Hg 0.3855 0.3855 0.5000
Hg 0.6145 0.6145 0.0000
Hg 0.6145 0.6145 0.5000


(4)
# K7NaHg3

A geometry-optimized K7NaHg3 structure (GGA-PBE, Alexandria via LeMat-Bulk).

Computed properties:
- uncorrected energy (eV per atom) = -0.994
- E_form (meV/atom) = -93

a b c (Å): 8.2703 8.2703 8.7922
angles (deg): 97.61 97.61 104.06
Fractional positions:
K 0.0000 0.0000 0.0000
K 0.1083 0.5028 0.2868
K 0.3442 0.3442 0.8171
K 0.4972 0.8917 0.7132
K 0.5028 0.1083 0.2868
K 0.6558 0.6558 0.1829
K 0.8917 0.4972 0.7132
Na 0.0000 0.0000 0.5000
Hg 0.2671 0.7329 0.0000
Hg 0.5000 0.5000 0.5000
Hg 0.7329 0.2671 0.0000


(5)
# K6Na15Hg8

A geometry-optimized K6Na15Hg8 structure (GGA-PBE, Alexandria via LeMat-Bulk).

Computed properties:
- uncorrected energy (eV per atom) = -1.122
- E_form (meV/atom) = -129

a b c (Å): 11.5330 11.5330 11.5330
angles (deg): 60.00 60.00 60.00
Fractional positions:
K 0.2469 0.2469 0.7531
K 0.2469 0.7531 0.2469
K 0.2469 0.7531 0.7531
K 0.7531 0.2469 0.2469
K 0.7531 0.2469 0.7531
K 0.7531 0.7531 0.2469
Na 0.0000 0.0000 0.5000
Na 0.0000 0.5000 0.0000
Na 0.0000 0.5000 0.5000
Na 0.1724 0.1724 0.1724
Na 0.1724 0.1724 0.4827
Na 0.1724 0.4827 0.1724
Na 0.4827 0.1724 0.1724
Na 0.5000 0.0000 0.0000
Na 0.5000 0.0000 0.5000
Na 0.5000 0.5000 0.0000
Na 0.5000 0.5000 0.5000
Na 0.5173 0.8276 0.8276
Na 0.8276 0.5173 0.8276
Na 0.8276 0.8276 0.5173
Na 0.8276 0.8276 0.8276
Hg 0.1067 0.6311 0.6311
Hg 0.3689 0.3689 0.3689
Hg 0.3689 0.3689 0.8933
Hg 0.3689 0.8933 0.3689
Hg 0.6311 0.1067 0.6311
Hg 0.6311 0.6311 0.1067
Hg 0.6311 0.6311 0.6311
Hg 0.8933 0.3689 0.3689


(6)
# K6NaHg

A geometry-optimized K6NaHg structure (GGA-PBE, Alexandria via LeMat-Bulk).

Computed properties:
- uncorrected energy (eV per atom) = -1.072
- E_form (meV/atom) = -46
- distance to the lowest polymorph of the same formula (eV/atom) = 0.0000

a b c (Å): 4.8707 13.3334 14.7354
angles (deg): 90.00 90.00 90.00
Fractional positions:
K 0.0000 0.0000 0.0000
K 0.0000 0.1710 0.7374
K 0.0000 0.3290 0.2374
K 0.0000 0.5000 0.5000
K 0.0000 0.6710 0.2374
K 0.0000 0.8290 0.7374
K 0.5000 0.0000 0.2577
K 0.5000 0.2286 0.4920
K 0.5000 0.2714 0.9920
K 0.5000 0.5000 0.7577
K 0.5000 0.7286 0.9920
K 0.5000 0.7714 0.4920
Na 0.0000 0.0000 0.4899
Na 0.0000 0.5000 0.9899
Hg 0.5000 0.0000 0.6339
Hg 0.5000 0.5000 0.1339


(7)
# KNa4Hg2

A geometry-optimized KNa4Hg2 structure (GGA-PBE, Alexandria via LeMat-Bulk).

Computed properties:
- uncorrected energy (eV per atom) = -1.150
- E_form (meV/atom) = -153
- distance to the lowest polymorph of the same formula (eV/atom) = 0.0000

a b c (Å): 9.7647 9.7647 5.0496
angles (deg): 90.00 90.00 90.00
Fractional positions:
K 0.0000 0.0000 0.0000
K 0.5000 0.5000 0.5000
Na 0.0879 0.3359 0.5000
Na 0.1641 0.5879 0.0000
Na 0.3359 0.0879 0.5000
Na 0.4121 0.8359 0.0000
Na 0.5879 0.1641 0.0000
Na 0.6641 0.9121 0.5000
Na 0.8359 0.4121 0.0000
Na 0.9121 0.6641 0.5000
Hg 0.2197 0.7803 0.5000
Hg 0.2803 0.2803 0.0000
Hg 0.7197 0.7197 0.0000
Hg 0.7803 0.2197 0.5000


(8)
# KNa8Hg2

A geometry-optimized KNa8Hg2 structure (GGA-PBE, Alexandria via LeMat-Bulk).

Computed properties:
- uncorrected energy (eV per atom) = -1.211
- E_form (meV/atom) = -97
- distance to the lowest polymorph of the same formula (eV/atom) = 0.0000

a b c (Å): 8.8219 8.8219 9.1618
angles (deg): 114.68 114.68 36.84
Fractional positions:
K 0.0000 0.0000 0.0000
Na 0.1082 0.1082 0.4853
Na 0.2161 0.2161 0.8972
Na 0.3350 0.3350 0.6723
Na 0.4357 0.4357 0.2813
Na 0.5643 0.5643 0.7187
Na 0.6650 0.6650 0.3277
Na 0.7839 0.7839 0.1028
Na 0.8918 0.8918 0.5147
Hg 0.2462 0.2462 0.2774
Hg 0.7538 0.7538 0.7226


(9)
# K6NaHg3

A geometry-optimized K6NaHg3 structure (GGA-PBE, Alexandria via LeMat-Bulk).

Computed properties:
- uncorrected energy (eV per atom) = -1.005
- E_form (meV/atom) = -124

a b c (Å): 12.9944 5.2831 15.3073
angles (deg): 90.00 110.91 90.00
Fractional positions:
K 0.0257 0.2500 0.3890
K 0.0625 0.2500 0.9033
K 0.2385 0.7500 0.3272
K 0.3175 0.7500 0.0804
K 0.3207 0.7500 0.8032
K 0.3930 0.2500 0.5626
K 0.6070 0.7500 0.4374
K 0.6793 0.2500 0.1968
K 0.6825 0.2500 0.9196
K 0.7615 0.2500 0.6728
K 0.9375 0.7500 0.0967
K 0.9743 0.7500 0.6110
Na 0.4238 0.2500 0.2707
Na 0.5762 0.7500 0.7293
Hg 0.1574 0.2500 0.1614
Hg 0.2106 0.7500 0.5492
Hg 0.4343 0.2500 0.9820
Hg 0.5657 0.7500 0.0180
Hg 0.7894 0.2500 0.4508
Hg 0.8426 0.7500 0.8386


(10)
# K12Na3Hg

A geometry-optimized K12Na3Hg structure (GGA-PBE, Alexandria via LeMat-Bulk).

Computed properties:
- uncorrected energy (eV per atom) = -1.092
- E_form (meV/atom) = -2

a b c (Å): 6.2248 6.2248 24.4307
angles (deg): 90.00 90.00 90.00
Fractional positions:
K 0.0000 0.0000 0.0000
K 0.0000 0.0000 0.2405
K 0.0000 0.0000 0.5000
K 0.0000 0.0000 0.7595
K 0.0000 0.5000 0.1115
K 0.0000 0.5000 0.3698
K 0.0000 0.5000 0.6302
K 0.0000 0.5000 0.8885
K 0.5000 0.0000 0.1115
K 0.5000 0.0000 0.3698
K 0.5000 0.0000 0.6302
K 0.5000 0.0000 0.8885
Na 0.5000 0.5000 0.2413
Na 0.5000 0.5000 0.5000
Na 0.5000 0.5000 0.7587
Hg 0.5000 0.5000 0.0000


(11)
# KNaHg

A geometry-optimized KNaHg structure (GGA-PBE, Alexandria via LeMat-Bulk).

Computed properties:
- uncorrected energy (eV per atom) = -1.052
- E_form (meV/atom) = -146
- distance to the lowest polymorph of the same formula (eV/atom) = 0.0406

a b c (Å): 4.9080 5.6619 9.8433
angles (deg): 81.74 89.77 64.41
Fractional positions:
K 0.1687 0.1675 0.1524
K 0.8313 0.8325 0.8476
Na 0.1575 0.1845 0.5719
Na 0.8425 0.8155 0.4281
Hg 0.4741 0.5498 0.6491
Hg 0.5259 0.4502 0.3509


(12)
# K3Na6Hg

A geometry-optimized K3Na6Hg structure (GGA-PBE, Alexandria via LeMat-Bulk).

Computed properties:
- uncorrected energy (eV per atom) = -1.075
- E_form (meV/atom) = 76
- distance to the lowest polymorph of the same formula (eV/atom) = 0.0744

a b c (Å): 9.1042 9.1042 9.1042
angles (deg): 60.00 60.00 60.00
Fractional positions:
K 0.0000 0.0000 0.0000
K 0.2500 0.2500 0.2500
K 0.7500 0.7500 0.7500
Na 0.2742 0.2742 0.7258
Na 0.2742 0.7258 0.2742
Na 0.2742 0.7258 0.7258
Na 0.7258 0.2742 0.2742
Na 0.7258 0.2742 0.7258
Na 0.7258 0.7258 0.2742
Hg 0.5000 0.5000 0.5000


Number 1: V 424 Å³/cell. Number 2: V 433 Å³/cell. Number 3: V 447 Å³/cell. Number 4: V 570 Å³/cell. Number 5: V 1085 Å³/cell. Number 6: V 957 Å³/cell. Number 7: V 481 Å³/cell. Number 8: V 384 Å³/cell. Number 9: V 982 Å³/cell. Number 10: V 947 Å³/cell. Number 11: V 244 Å³/cell. Number 12: V 534 Å³/cell.